Record 1
DFT (PBE) results for crystalline CsRe2Te at its relaxed geometry.

Results
formation energy without anion corrections: 245 kJ/mol of formula units
calculated density: 10.245 Mg/m³

Cell lengths 19.293, 3.328, 3.195 Å; angles 90.00, 90.53, 90.00 degrees
Space group Cm (No. 8)
One atom of each set of equivalent atoms:
Cs: 0.000 0.000 0.000 (multiplicity 2)
Re: 0.283 0.500 0.048 (multiplicity 2)
Re: 0.343 0.000 0.515 (multiplicity 2)
Te: 0.163 0.500 0.513 (multiplicity 2)

Record 2
DFT (PBE) results for crystalline Cu2SiMo at its relaxed geometry.

Results
formation energy without anion corrections: 62 kJ/mol of formula units
calculated density: 7.872 Mg/m³

Cell lengths 2.800, 4.448, 8.508 Å; angles 90.00, 90.00, 90.00 degrees
Space group Imm2 (No. 44)
One atom of each set of equivalent atoms:
Cu: 0.000 0.000 0.000 (multiplicity 2)
Cu: 0.000 0.500 0.255 (multiplicity 2)
Si: 0.000 0.000 0.528 (multiplicity 2)
Mo: 0.000 0.500 0.772 (multiplicity 2)

Record 3
DFT (PBE) results for crystalline TbCeEr2P4 at its relaxed geometry.

Results
ΔH_f (0 K): -1.5865 eV per atom
calculated density: 6.899 Mg/m³

Cell lengths 6.936, 4.013, 6.944 Å; angles 90.00, 109.42, 90.00 degrees
Space group P2/m (No. 10)
One atom of each set of equivalent atoms:
Tb: 0.000 0.000 0.000 (multiplicity 1)
Ce: 0.000 0.500 0.500 (multiplicity 1)
Er: 0.500 0.000 0.500 (multiplicity 1)
Er: 0.500 0.500 0.000 (multiplicity 1)
P: 0.253 0.500 0.252 (multiplicity 2)
P: 0.255 0.000 0.752 (multiplicity 2)

Record 4
DFT (PBE) results for crystalline Ac2Ag3Au4 at its relaxed geometry.

Results
ΔH_f (0 K): -0.4553 eV per atom
calculated density: 12.127 Mg/m³
E above lowest polymorph: 37 meV/atom

Cell lengths 6.193, 16.296, 8.497 Å; angles 90.00, 90.00, 90.00 degrees
Space group Cmce (No. 64)
One atom of each set of equivalent atoms:
Ac: 0.000 0.122 0.075 (multiplicity 8)
Ag: 0.000 0.000 0.500 (multiplicity 4)
Ag: 0.250 0.216 0.750 (multiplicity 8)
Au: 0.000 0.181 0.464 (multiplicity 8)
Au: 0.250 0.040 0.750 (multiplicity 8)

Record 5
DFT (PBE) results for crystalline NdMg2Tl2Cd2 at its relaxed geometry.

Results
ΔH_f (0 K): -0.1638 eV per atom
calculated density: 7.826 Mg/m³

Cell lengths 8.327, 5.043, 8.932 Å; angles 90.00, 110.78, 90.00 degrees
Space group C2/m (No. 12)
One atom of each set of equivalent atoms:
Nd: 0.000 0.000 0.000 (multiplicity 2)
Mg: 0.144 0.000 0.419 (multiplicity 4)
Tl: 0.236 0.500 0.192 (multiplicity 4)
Cd: 0.056 0.500 0.687 (multiplicity 4)

Record 6
DFT (PBE) results for crystalline Tm2CS at its relaxed geometry.

Results
formation energy without anion corrections: -408 kJ/mol of formula units
calculated density: 8.310 Mg/m³

Cell lengths 6.471, 3.779, 12.483 Å; angles 90.00, 90.00, 90.00 degrees
Space group Pnma (No. 62)
One atom of each set of equivalent atoms:
Tm: 0.155 0.250 0.249 (multiplicity 4)
Tm: 0.205 0.250 0.520 (multiplicity 4)
C: 0.087 0.750 0.610 (multiplicity 4)
S: 0.084 0.250 0.860 (multiplicity 4)

Record 7
DFT (PBE) results for crystalline BaMn2Mo at its relaxed geometry.

Results
ΔH_f (0 K): 1.4203 eV per atom
calculated density: 8.224 Mg/m³
E above lowest polymorph: 865 meV/atom

Cell lengths 6.520, 6.520, 6.520 Å; angles 90.00, 90.00, 90.00 degrees
Space group Fm-3m (No. 225)
One atom of each set of equivalent atoms:
Ba: 0.000 0.000 0.000 (multiplicity 4)
Mn: 0.250 0.250 0.250 (multiplicity 8)
Mo: 0.000 0.000 0.500 (multiplicity 4)

Record 8
DFT (PBE) results for crystalline SrLiH3 at its relaxed geometry.

Results
calculated density: 2.504 Mg/m³
E above lowest polymorph: 64 meV/atom

Cell lengths 11.545, 3.810, 6.544 Å; angles 90.00, 115.95, 90.00 degrees
Space group C2/m (No. 12)
One atom of each set of equivalent atoms:
Sr: 0.085 0.000 0.308 (multiplicity 4)
Li: 0.182 0.500 0.032 (multiplicity 4)
H: 0.000 0.500 0.000 (multiplicity 2)
H: 0.000 0.500 0.500 (multiplicity 2)
H: 0.154 0.000 0.982 (multiplicity 4)
H: 0.223 0.500 0.336 (multiplicity 4)